First-principles (PBE) data for crystalline Sm2MgHg4 at its relaxed geometry, as listed in the Alexandria database.

Properties
Energy relative to the lowest polymorph listed for this composition = 0.2559 eV per atom
Formation energy from the elements = -0.0898 eV per atom
Energy = -12.87 eV/cell

Geometry as POSCAR:
```
Sm2MgHg4
1.0
-1.994 3.942 -2.700
1.192 -2.423 -4.418
-6.587 -4.267 3.597
Hg Sm Mg
4 2 1
direct
0.500 0.000 0.000
0.816 0.816 0.633
0.000 0.500 0.000
0.184 0.184 0.367
0.380 0.380 0.760
0.620 0.620 0.240
0.000 0.000 0.000
```